1.
{"formula": "MgReO5", "functional": "PBE-GGA", "state": "relaxed", "final_energy_ev_per_atom": -7.18, "sg": "C2/c", "magnetic_moment_mub_per_fu": 1.00, "lattice": [[5.575, 0.713, -1.779], [-0.919, 5.456, -2.029], [-0.404, -0.702, 8.120]], "species": ["O", "O", "O", "O", "O", "O", "O", "O", "O", "O", "Re", "Re", "Mg", "Mg"], "fractional_positions": [[0.950, 0.202, 0.249], [0.715, 0.159, 0.847], [0.309, 0.369, 0.651], [0.048, 0.800, 0.749], [0.283, 0.843, 0.152], [0.248, 0.322, 0.069], [0.689, 0.634, 0.347], [0.750, 0.680, 0.930], [0.747, 0.321, 0.569], [0.251, 0.681, 0.430], [0.369, 0.621, 0.249], [0.629, 0.381, 0.749], [0.999, 0.001, 0.999], [0.999, 0.501, 0.499]]}



2.
{"formula": "MgRe3O", "functional": "PBE-GGA", "state": "relaxed", "final_energy_ev_per_atom": -8.27, "relative_energy_mev_per_atom": 0, "sg": "Pm-3m", "magnetic_moment_mub_per_fu": 0.00, "lattice": [[4.126, 0.000, 0.000], [0.000, 4.126, 0.000], [0.000, 0.000, 4.126]], "species": ["Re", "Re", "Re", "O", "Mg"], "fractional_positions": [[0.500, 0.000, 0.000], [0.000, 0.000, 0.500], [0.000, 0.500, 0.000], [0.000, 0.000, 0.000], [0.500, 0.500, 0.500]]}



3.
{"formula": "MgReO2", "functional": "PBE-GGA", "state": "relaxed", "final_energy_ev_per_atom": -7.62, "sg": "R-3m", "magnetic_moment_mub_per_fu": 0.00, "lattice": [[1.659, 0.000, 6.151], [-0.829, 1.437, 6.151], [-0.829, -1.437, 6.151]], "species": ["O", "O", "Re", "Mg"], "fractional_positions": [[0.104, 0.104, 0.104], [0.896, 0.896, 0.896], [0.000, 0.000, 0.000], [0.500, 0.500, 0.500]]}



4.
{"formula": "MgRe2O", "functional": "PBE-GGA", "state": "relaxed", "final_energy_ev_per_atom": -7.15, "relative_energy_mev_per_atom": 0, "sg": "I4_1/amd", "magnetic_moment_mub_per_fu": 1.07, "lattice": [[4.872, 0.000, 0.000], [0.000, 4.872, 0.000], [2.436, 2.436, 6.450]], "species": ["Re", "Re", "Re", "Re", "Mg", "Mg", "O", "O"], "fractional_positions": [[0.375, 0.625, 0.250], [0.375, 0.125, 0.250], [0.875, 0.625, 0.750], [0.375, 0.625, 0.750], [0.750, 0.250, 0.500], [0.000, 0.000, 0.000], [0.250, 0.750, 0.500], [0.500, 0.500, 0.000]]}



5.
{"formula": "MgReO2", "functional": "PBE-GGA", "state": "relaxed", "final_energy_ev_per_atom": -6.88, "sg": "I-42d", "magnetic_moment_mub_per_fu": 1.00, "lattice": [[-1.912, 0.719, 4.446], [3.749, -2.424, 2.004], [3.042, 2.710, 3.563]], "species": ["Re", "Re", "O", "O", "O", "O", "Mg", "Mg"], "fractional_positions": [[0.750, 0.250, 0.500], [0.000, 0.000, 0.000], [0.601, 0.125, 0.250], [0.375, 0.399, 0.750], [0.875, 0.851, 0.750], [0.149, 0.625, 0.250], [0.250, 0.750, 0.500], [0.500, 0.500, 0.000]]}



6.
{"formula": "Mg2ReO6", "functional": "PBE-GGA", "state": "relaxed", "final_energy_ev_per_atom": -6.93, "sg": "P4_2/mnm", "magnetic_moment_mub_per_fu": 0.99, "lattice": [[-2.485, -3.377, 2.229], [1.127, -3.090, -3.425], [7.483, -2.433, 4.657]], "species": ["Mg", "Mg", "Mg", "Mg", "O", "O", "O", "O", "O", "O", "O", "O", "O", "O", "O", "O", "Re", "Re"], "fractional_positions": [[0.500, 0.500, 0.666], [0.000, 0.000, 0.166], [0.000, 0.000, 0.834], [0.500, 0.500, 0.334], [0.693, 0.693, 0.149], [0.285, 0.285, 0.500], [0.215, 0.785, 0.000], [0.193, 0.807, 0.351], [0.785, 0.215, 0.000], [0.307, 0.307, 0.851], [0.307, 0.307, 0.149], [0.807, 0.193, 0.649], [0.193, 0.807, 0.649], [0.807, 0.193, 0.351], [0.693, 0.693, 0.851], [0.715, 0.715, 0.500], [0.500, 0.500, 0.000], [0.000, 0.000, 0.500]]}



7.
{"formula": "MgRe3O", "functional": "PBE-GGA", "state": "relaxed", "final_energy_ev_per_atom": -5.41, "relative_energy_mev_per_atom": 2863, "sg": "Pm-3m", "magnetic_moment_mub_per_fu": 3.28, "lattice": [[4.523, 0.000, 0.000], [0.000, 4.523, 0.000], [0.000, 0.000, 4.523]], "species": ["Re", "Re", "Re", "O", "Mg"], "fractional_positions": [[0.000, 0.500, 0.000], [0.500, 0.000, 0.000], [0.000, 0.000, 0.500], [0.500, 0.500, 0.500], [0.000, 0.000, 0.000]]}



8.
{"formula": "MgRe2O", "functional": "PBE-GGA", "state": "relaxed", "final_energy_ev_per_atom": -6.52, "relative_energy_mev_per_atom": 627, "sg": "Fm-3m", "magnetic_moment_mub_per_fu": 0.00, "lattice": [[0.000, 3.016, 3.016], [3.016, 0.000, 3.016], [3.016, 3.016, 0.000]], "species": ["Mg", "Re", "Re", "O"], "fractional_positions": [[0.500, 0.500, 0.500], [0.750, 0.750, 0.750], [0.250, 0.250, 0.250], [0.000, 0.000, 0.000]]}



9.
{"formula": "MgReO6", "functional": "PBE-GGA", "state": "relaxed", "final_energy_ev_per_atom": -6.59, "sg": "Fm-3m", "magnetic_moment_mub_per_fu": 3.01, "lattice": [[-3.525, 2.900, -3.181], [-1.608, -2.022, -4.927], [-5.222, -1.784, -0.705]], "species": ["Mg", "O", "O", "O", "O", "O", "O", "Re"], "fractional_positions": [[0.500, 0.500, 0.500], [0.238, 0.762, 0.762], [0.762, 0.762, 0.238], [0.238, 0.762, 0.238], [0.762, 0.238, 0.238], [0.238, 0.238, 0.762], [0.762, 0.238, 0.762], [0.000, 0.000, 0.000]]}



10.
{"formula": "Mg3ReO6", "functional": "PBE-GGA", "state": "relaxed", "final_energy_ev_per_atom": -6.91, "sg": "R-3", "magnetic_moment_mub_per_fu": 1.01, "lattice": [[6.080, -0.005, -0.005], [-0.137, 6.078, -0.005], [-0.137, -0.140, 6.077]], "species": ["Mg", "Mg", "Mg", "Mg", "Mg", "Mg", "O", "O", "O", "O", "O", "O", "O", "O", "O", "O", "O", "O", "Re", "Re"], "fractional_positions": [[0.253, 0.560, 0.066], [0.440, 0.934, 0.747], [0.066, 0.253, 0.560], [0.560, 0.066, 0.253], [0.934, 0.747, 0.440], [0.747, 0.440, 0.934], [0.550, 0.405, 0.198], [0.923, 0.700, 0.070], [0.405, 0.198, 0.550], [0.802, 0.450, 0.595], [0.198, 0.550, 0.405], [0.450, 0.595, 0.802], [0.300, 0.930, 0.077], [0.595, 0.802, 0.450], [0.070, 0.923, 0.700], [0.077, 0.300, 0.930], [0.700, 0.070, 0.923], [0.930, 0.077, 0.300], [0.500, 0.500, 0.500], [0.000, 0.000, 0.000]]}



11.
{"formula": "Mg2ReSiO", "functional": "PBE-GGA", "state": "relaxed", "final_energy_ev_per_atom": -5.49, "sg": "P4/mmm", "magnetic_moment_mub_per_fu": 0.69, "lattice": [[-3.428, -1.007, -1.681], [-1.433, -1.642, 3.906], [-1.496, 3.532, 0.936]], "species": ["O", "Mg", "Mg", "Si", "Re"], "fractional_positions": [[0.000, 0.000, 0.000], [0.500, 0.000, 0.000], [0.000, 0.000, 0.500], [0.500, 0.500, 0.500], [0.000, 0.500, 0.000]]}



12.
{"formula": "SrMgReO6", "functional": "PBE-GGA", "state": "relaxed", "final_energy_ev_per_atom": -7.06, "sg": "P1", "magnetic_moment_mub_per_fu": 1.05, "lattice": [[5.391, 0.109, 0.081], [2.789, 4.610, -0.025], [0.079, -0.074, 5.361]], "species": ["Sr", "O", "O", "O", "O", "O", "O", "Re", "Mg"], "fractional_positions": [[0.005, 0.996, 0.999], [0.359, 0.602, 0.288], [0.323, 0.041, 0.675], [0.037, 0.332, 0.311], [0.629, 0.021, 0.308], [0.018, 0.620, 0.697], [0.605, 0.367, 0.717], [0.355, 0.348, 0.509], [0.670, 0.672, 0.498]]}



13.
{"formula": "SrMgRe2O8", "functional": "PBE-GGA", "state": "relaxed", "final_energy_ev_per_atom": -7.60, "sg": "P-3m1", "magnetic_moment_mub_per_fu": 2.01, "lattice": [[5.784, 0.000, 0.000], [-2.892, 5.009, 0.000], [0.000, 0.000, 6.852]], "species": ["Mg", "O", "O", "O", "O", "O", "O", "O", "O", "Sr", "Re", "Re"], "fractional_positions": [[0.000, 0.000, 0.500], [0.841, 0.681, 0.306], [0.160, 0.841, 0.694], [0.159, 0.319, 0.694], [0.667, 0.333, 0.973], [0.333, 0.667, 0.027], [0.319, 0.160, 0.306], [0.840, 0.159, 0.306], [0.681, 0.840, 0.694], [0.000, 0.000, 0.000], [0.333, 0.667, 0.766], [0.667, 0.333, 0.234]]}



14.
{"formula": "ThMg2ReO8", "functional": "PBE-GGA", "state": "relaxed", "final_energy_ev_per_atom": -7.56, "sg": "Cmmm", "magnetic_moment_mub_per_fu": 0.27, "lattice": [[4.735, -0.064, -0.003], [-0.038, 4.732, -0.005], [0.004, 0.007, 6.709]], "species": ["Mg", "Mg", "O", "O", "O", "O", "O", "O", "O", "O", "Th", "Re"], "fractional_positions": [[0.500, 0.500, 0.769], [0.500, 0.500, 0.231], [0.808, 0.193, 0.791], [0.717, 0.718, 0.000], [0.192, 0.807, 0.209], [0.327, 0.326, 0.500], [0.808, 0.193, 0.209], [0.673, 0.674, 0.500], [0.283, 0.282, 0.000], [0.192, 0.807, 0.791], [0.000, 0.000, 0.500], [0.000, 0.000, 0.000]]}



15.
{"formula": "MgTiReO6", "functional": "PBE-GGA", "state": "relaxed", "final_energy_ev_per_atom": -7.97, "sg": "P-31c", "magnetic_moment_mub_per_fu": 1.04, "lattice": [[5.065, 0.000, 0.000], [-2.532, 4.386, 0.000], [0.000, 0.000, 9.139]], "species": ["Re", "Re", "O", "O", "O", "O", "O", "O", "O", "O", "O", "O", "O", "O", "Mg", "Mg", "Ti", "Ti"], "fractional_positions": [[0.667, 0.333, 0.750], [0.333, 0.667, 0.250], [0.993, 0.346, 0.635], [0.654, 0.007, 0.865], [0.648, 0.654, 0.135], [0.346, 0.993, 0.135], [0.654, 0.648, 0.635], [0.352, 0.346, 0.865], [0.648, 0.993, 0.365], [0.007, 0.352, 0.135], [0.346, 0.352, 0.365], [0.352, 0.007, 0.635], [0.007, 0.654, 0.365], [0.993, 0.648, 0.865], [0.000, 0.000, 0.500], [0.000, 0.000, 0.000], [0.667, 0.333, 0.250], [0.333, 0.667, 0.750]]}